1.
26
Lattice="8.943 0.000 0.000 -4.471 7.745 0.000 0.000 0.000 32.480" Properties=species:S:1:pos:R:3 comment="Cs6K7 (GGA-PBEsol, relaxed)" formation_energy_ev_per_atom=0.00 e_tot_ev_per_atom=-1.050 spacegroup="P6_3/mmc (194)" pbc="T T T"
Cs 0.000 0.000 8.120
Cs 0.000 0.000 24.360
Cs 0.000 5.163 0.734
Cs 0.000 5.163 5.761
Cs 0.000 5.163 10.479
Cs 0.000 5.163 15.506
Cs 0.000 5.163 24.360
Cs 4.471 2.582 8.120
Cs 4.471 2.582 16.974
Cs 4.471 2.582 22.001
Cs 4.471 2.582 26.719
Cs 4.471 2.582 31.747
K 0.000 0.000 0.000
K 0.000 0.000 16.240
K 0.000 2.599 19.924
K 0.000 2.599 28.796
K -2.221 6.445 19.924
K -2.221 6.445 28.796
K 2.250 1.299 3.684
K 2.250 1.299 12.556
K 2.221 6.445 19.924
K 2.221 6.445 28.796
K 6.692 1.299 3.684
K 6.692 1.299 12.556
K 4.471 5.146 3.684
K 4.471 5.146 12.556

2.
8
Lattice="10.347 0.000 0.000 -5.173 8.961 0.000 0.000 0.000 8.325" Properties=species:S:1:pos:R:3 comment="Cs3K (GGA-PBEsol, relaxed)" formation_energy_ev_per_atom=0.00 e_tot_ev_per_atom=-0.988 spacegroup="P6_3/mmc (194)" pbc="T T T"
Cs 0.000 3.057 2.081
Cs -2.526 7.432 2.081
Cs 2.647 1.529 6.244
Cs 2.526 7.432 2.081
Cs 7.699 1.529 6.244
Cs 5.173 5.904 6.244
K 0.000 5.974 6.244
K 5.173 2.987 2.081

3.
28
Lattice="7.778 0.000 0.000 0.000 5.990 0.000 -0.256 0.000 10.001" Properties=species:S:1:pos:R:3 comment="CsK2LaV2O8 (GGA-PBEsol, relaxed)" e_tot_ev_per_atom=-7.574 spacegroup="P2_1/m (11)" pbc="T T T"
Cs 0.840 1.498 4.069
Cs 6.682 4.493 5.931
K -0.011 4.493 1.888
K 2.148 4.493 9.169
K 5.374 1.498 0.831
K 7.533 1.498 8.113
La 3.665 1.498 7.111
La 3.856 4.493 2.890
V 2.005 1.498 0.811
V 2.294 4.493 5.753
V 5.228 1.498 4.248
V 5.517 4.493 9.190
O 0.316 1.498 0.858
O 1.609 4.493 4.176
O 1.852 3.086 6.646
O 1.852 5.900 6.646
O 2.281 1.498 9.177
O 2.599 0.075 1.597
O 2.599 2.920 1.597
O 3.568 1.498 4.563
O 3.953 4.493 5.437
O 4.923 3.070 8.404
O 4.923 5.915 8.404
O 5.241 4.493 0.823
O 5.669 0.091 3.354
O 5.669 2.904 3.354
O 5.913 1.498 5.825
O 7.205 4.493 9.143